1.
## Pm3SbRh (PBE)

Data for a relaxed Pm3SbRh crystal.

The space group is P2_1/m (No. 11) and the conventional cell measures 7.9955, 4.5246 and 8.5571 Å, with angles of 90.00, 113.78 and 90.00 degrees. Symmetry generates all atoms from Pm at (0.0456, 0.2500, 0.2387), Pm at (0.3314, 0.2500, 0.9263), Pm at (0.3348, 0.7500, 0.5903), Sb at (0.3278, 0.7500, 0.2005) and Rh at (0.0789, 0.2500, 0.6005).

The calculation puts the offset from the most stable computed form at 0.043 eV/atom. The calculation puts the formation energy (no corrections) at -3.79 eV per formula unit. As for the crystal system: monoclinic.



2.
## Pm3Sb4Rh3 (PBE)

Data for a relaxed Pm3Sb4Rh3 crystal.

The space group is I-43d (No. 220) and the conventional cell measures 9.8471, 9.8471 and 9.8471 Å, with angles of 90.00, 90.00 and 90.00 degrees. Symmetry generates all atoms from Pm at (0.0000, 0.2500, 0.8750), Sb at (0.0760, 0.4240, 0.5760) and Rh at (0.0000, 0.2500, 0.3750).

The calculation puts the formation energy (no corrections) at -8.67 eV per formula unit. As for the crystal system: cubic.



3.
## Pm4SbRh (PBE)

Data for a relaxed Pm4SbRh crystal.

The space group is C2/c (No. 15) and the conventional cell measures 8.9672, 14.1146 and 6.1379 Å, with angles of 90.00, 115.74 and 90.00 degrees. Symmetry generates all atoms from Pm at (0.1142, 0.1848, 0.0755), Pm at (0.2213, 0.4306, 0.3309), Sb at (0.0000, 0.3775, 0.7500) and Rh at (0.0000, 0.0017, 0.2500).

The calculation puts the formation energy (no corrections) at -3.72 eV per formula unit. As for the crystal system: monoclinic.



4.
## Pm2ScSb3Rh4 (PBE)

Data for a relaxed Pm2ScSb3Rh4 crystal.

The space group is P-4m2 (No. 115) and the conventional cell measures 4.3203, 4.3203 and 11.3807 Å, with angles of 90.00, 90.00 and 90.00 degrees. Symmetry generates all atoms from Pm at (0.0000, 0.5000, 0.2368), Sc at (0.0000, 0.0000, 0.5000), Sb at (0.0000, 0.5000, 0.8658), Sb at (0.5000, 0.5000, 0.5000), Rh at (0.0000, 0.0000, 0.0000), Rh at (0.0000, 0.5000, 0.6399) and Rh at (0.5000, 0.5000, 0.0000).

The calculation puts the formation energy (no corrections) at -8.83 eV per formula unit. As for the crystal system: tetragonal.



Ordered final energy results: -59.022 -245.852 -136.802 -66.432; unit eV for the cell shown.